(1)
The following is a GGA-PBE calculation of an optimized crystal structure of NpTcGe2, from Alexandria via LeMat-Bulk.

Output
E_tot, eV per cell: -98.975
Size of the total moment, μB per atom: 0.76
ΔE_f, eV/atom: -0.113

Cell: 4.3015 4.3015 13.8846 Å, 90.00 90.00 120.00°
Last column: nearest neighbours and their distance in Å.
Space group R-3m (No. 166, hexagonal axes)
Asymmetric unit:
Np (0.0000, 0.0000, 0.0000) x3  8 Ge 2.90-3.13
Tc (0.0000, 0.0000, 0.5000) x3  6 Ge 2.61
Ge (0.0000, 0.0000, 0.2251) x6  3 Tc 2.61, 3 Np 2.90

(2)
The following is a GGA-PBE calculation of an optimized crystal structure of NpTc2Ge3, from Alexandria via LeMat-Bulk.

Output
E_tot, eV per cell: -191.724
Size of the total moment, μB per atom: 0.53
ΔE_f, eV/atom: -0.068

Cell: 9.2524 7.8899 5.8088 Å, 90.00 90.00 90.00°
Last column: nearest neighbours and their distance in Å.
Space group Cmcm (No. 63)
Asymmetric unit:
Np (0.0000, 0.1249, 0.2500) x4  3 Ge 2.82-3.11, 4 Tc 3.12
Tc (0.2208, 0.5000, 0.0000) x8  6 Ge 2.51-2.69
Ge (0.0000, 0.4827, 0.2500) x4  4 Tc 2.51, 2 Ge 2.73
Ge (0.1568, 0.2236, 0.7500) x8  4 Tc 2.55-2.69, 1 Ge 2.73

(3)
The following is a GGA-PBE calculation of an optimized crystal structure of NpTcGe2, from Alexandria via LeMat-Bulk.

Output
E_tot, eV per cell: -31.983
Size of the total moment, μB per atom: 0.78
ΔE_f, eV/atom: 0.140

Cell: 5.0750 5.0750 2.7145 Å, 90.00 90.00 90.00°
Last column: nearest neighbours and their distance in Å.
Space group P4/mmm (No. 123)
Asymmetric unit:
Np (0.0000, 0.0000, 0.0000) x1  2 Np 2.71, 8 Ge 2.88
Tc (0.5000, 0.5000, 0.0000) x1  2 Tc 2.71, 8 Ge 2.88
Ge (0.0000, 0.5000, 0.5000) x2  2 Ge 2.71, 4 Tc 2.88, 4 Np 2.88

(4)
The following is a GGA-PBE calculation of an optimized crystal structure of NpTc3Ge2, from Alexandria via LeMat-Bulk.

Output
E_tot, eV per cell: -216.448
Size of the total moment, μB per atom: 0.54
ΔE_f, eV/atom: -0.140

Cell: 15.1786 4.2303 7.4048 Å, 90.00 118.30 90.00°
Last column: nearest neighbours and their distance in Å.
Space group C2/m (No. 12)
Asymmetric unit:
Np (0.1352, 0.0000, 0.2138) x4  7 Ge 2.99-3.15, 2 Tc 3.00-3.14
Tc (0.0469, 0.0000, 0.6960) x4  3 Ge 2.54-2.55, 3 Tc 2.56-2.72
Tc (0.0906, 0.5000, 0.5216) x4  3 Ge 2.54-2.64, 4 Tc 2.61-2.72
Tc (0.2074, 0.5000, 0.9222) x4  3 Tc 2.46-2.64, 2 Ge 2.58-2.68
Ge (0.0258, 0.5000, 0.8627) x4  1 Ge 2.50, 4 Tc 2.54-2.58
Ge (0.2077, 0.0000, 0.6668) x4  6 Tc 2.55-2.84

(5)
The following is a GGA-PBE calculation of an optimized crystal structure of NpTc5Ge6, from Alexandria via LeMat-Bulk.

Output
E_tot, eV per cell: -92.795
Size of the total moment, μB per atom: 0.20
ΔE_f, eV/atom: -0.027

Cell: 4.3911 6.3554 7.0253 Å, 90.00 108.12 90.00°
Last column: nearest neighbours and their distance in Å.
Space group P2/m (No. 10)
Asymmetric unit:
Np (0.0000, 0.0000, 0.0000) x1  8 Ge 2.84-2.91, 6 Tc 3.05-3.18
Tc (0.0000, 0.5000, 0.0000) x1  8 Ge 2.59-2.80
Tc (0.3315, 0.5000, 0.6644) x2  8 Ge 2.55-2.66
Tc (0.3368, 0.0000, 0.6808) x2  8 Ge 2.75-2.79, 2 Np 3.05-3.07
Ge (0.1787, 0.2642, 0.3550) x4  7 Tc 2.55-2.80
Ge (0.5000, 0.2835, 0.0000) x2  6 Tc 2.59-2.79, 1 Ge 2.75, 2 Np 2.84

(6)
The following is a GGA-PBE calculation of an optimized crystal structure of Np2Tc3Ge4, from Alexandria via LeMat-Bulk.

Output
E_tot, eV per cell: -155.920
Size of the total moment, μB per atom: 0.75
ΔE_f, eV/atom: -0.279

Cell: 6.9055 8.2266 5.7838 Å, 90.00 104.09 90.00°
Last column: nearest neighbours and their distance in Å.
Space group P2_1/c (No. 14)
Asymmetric unit:
Np (0.2484, 0.0502, 0.4202) x4  2 Tc 2.96-2.97, 8 Ge 2.98-3.12
Tc (0.1106, 0.7080, 0.3849) x4  5 Ge 2.53-2.59
Tc (0.5000, 0.0000, 0.0000) x2  6 Ge 2.56-2.59
Ge (0.1331, 0.1004, 0.8801) x4  4 Tc 2.53-2.59
Ge (0.4263, 0.7486, 0.2269) x4  4 Tc 2.56-2.59

(7)
The following is a GGA-PBE calculation of an optimized crystal structure of Np2GeTe, from Alexandria via LeMat-Bulk.

Output
E_tot, eV per cell: -34.696
Formation energy without anion corrections, eV per atom: -0.26
Size of the total moment, μB per atom: 2.26

Cell: 3.8880 3.8880 6.2859 Å, 90.00 90.00 90.00°
Last column: nearest neighbours and their distance in Å.
Space group P4/mmm (No. 123)
Asymmetric unit:
Np (0.0000, 0.0000, 0.2228) x2  1 Np 2.80, 4 Ge 3.09
Ge (0.5000, 0.5000, 0.0000) x1  8 Np 3.09, 2 Te 3.14
Te (0.5000, 0.5000, 0.5000) x1  2 Ge 3.14, 8 Np 3.25

(8)
The following is a GGA-PBE calculation of an optimized crystal structure of NpGeTe, from Alexandria via LeMat-Bulk.

Output
E_tot, eV per cell: -42.272
Formation energy without anion corrections, eV per atom: -0.15
Size of the total moment, μB per atom: 1.30

Cell: 3.9158 3.9158 9.9081 Å, 90.00 90.00 90.00°
Last column: nearest neighbours and their distance in Å.
Space group I4mm (No. 107)
Asymmetric unit:
Np (0.0000, 0.0000, 0.0000) x2  4 Ge 3.00, 5 Te 3.24-3.27
Ge (0.0000, 0.0000, 0.6160) x2  1 Te 2.83, 4 Np 3.00
Te (0.0000, 0.0000, 0.3301) x2  1 Ge 2.83

Question: Which value of size of the total moment does entry 5 give?
Answer: 0.20 μB per atom